(1)
VASP calculation (GGA-PBE) on a geometry-optimized NdTmTa structure.

For the formation energy, the calculation gives 1.27 eV per atom.

Structure (CIF):
```
data_NdTmTa
_space_group_name_H-M_alt 'F -4 3 m'
_space_group_IT_number 216
_space_group_name_Hall 'F -4 2 3'
_cell_length_a 7.118
_cell_length_b 7.118
_cell_length_c 7.118
_cell_angle_alpha 90.00
_cell_angle_beta 90.00
_cell_angle_gamma 90.00
loop_
_atom_site_label
_atom_site_fract_x
_atom_site_fract_y
_atom_site_fract_z
Nd1 0.000 0.000 0.000
Tm1 0.250 0.250 0.250
Ta1 0.000 0.000 0.500
```



(2)
VASP calculation (GGA-PBE) on a geometry-optimized TaCo2Te6 structure.

As for the final energy: -5.2190 eV/atom.

Structure (CIF):
```
data_TaCo2Te6
_space_group_name_H-M_alt 'C 1 m 1'
_space_group_IT_number 8
_cell_length_a 15.166
_cell_length_b 3.687
_cell_length_c 9.693
_cell_angle_alpha 90.00
_cell_angle_beta 117.63
_cell_angle_gamma 90.00
loop_
_space_group_symop_operation_xyz
'x,y,z'
'x,-y,z'
'x+1/2,y+1/2,z'
'x+1/2,-y+1/2,z'
loop_
_atom_site_label
_atom_site_fract_x
_atom_site_fract_y
_atom_site_fract_z
Ta1 0.000 0.000 0.000
Co1 0.152 0.500 0.315
Co2 0.349 0.000 0.689
Te1 0.031 0.000 0.307
Te2 0.150 0.500 0.049
Te3 0.218 0.500 0.613
Te4 0.283 0.000 0.390
Te5 0.350 0.000 0.954
Te6 0.470 0.500 0.695
```



(3)
VASP calculation (GGA-PBE) on a geometry-optimized ThSnPt structure.

As for the final energy: -6.9027 eV/atom.

Structure (CIF):
```
data_ThSnPt
_space_group_name_H-M_alt 'F -4 3 m'
_space_group_IT_number 216
_space_group_name_Hall 'F -4 2 3'
_cell_length_a 6.818
_cell_length_b 6.818
_cell_length_c 6.818
_cell_angle_alpha 90.00
_cell_angle_beta 90.00
_cell_angle_gamma 90.00
loop_
_atom_site_label
_atom_site_fract_x
_atom_site_fract_y
_atom_site_fract_z
Th1 0.000 0.000 0.000
Sn1 0.000 0.000 0.500
Pt1 0.250 0.250 0.750
```



Magnetic moment
In order: 0.532 0.001 0.000
Unit: μB per atom